Below is a geometry-optimized Ho3TlFe structure, with properties calculated at the PBE level.

Summary:
total DFT energy (no corrections)	-0.3619	Ry/atom

Lattice parameters (Å, degrees): 5.1233 5.1233 5.1233 90.00 90.00 90.00
Closest atoms and distances in Å follow each position.
Space group Pm-3m (No. 221)
Unique sites:
Ho (0.0000, 0.0000, 0.5000) (multiplicity 3)  2 Fe 2.56
Tl (0.5000, 0.5000, 0.5000) (multiplicity 1)  12 Ho 3.62
Fe (0.0000, 0.0000, 0.0000) (multiplicity 1)  6 Ho 2.56